(1)
Here is K2TlAu at its PBEsol-relaxed geometry from Alexandria. Energies are from SCAN.

Results
**Energy relative to the elements**: -0.228 eV/atom
**N(E_F)**: 1.9 states/eV/cell
**Total energy**: -39.771 eV/atom

Cell: 4.169 4.191 7.176 Å, 90.00 90.00 90.00°
Element x y z (fractional)
K  0.000  0.000  0.773
K  0.000  0.000  0.227
Au  0.500  0.500  0.000
Tl  0.500  0.500  0.500

---

(2)
Here is FeCo2As at its PBEsol-relaxed geometry from Alexandria. Energies are from SCAN.

Results
**Energy relative to the elements**: 0.024 eV/atom
**N(E_F)**: 2.9 states/eV/cell
**Total energy**: -18.208 eV/atom

Cell: 3.508 3.508 4.347 Å, 113.80 113.80 90.00°
Site moments in Bohr magnetons follow the coordinates.
Element x y z (fractional)
Co  0.750  0.250  0.500  1.36
Co  0.000  0.000  0.000  1.55
Fe  0.500  0.500  0.000  2.75
As  0.250  0.750  0.500  -0.01

---

(3)
Here is Mn4Ni at its PBEsol-relaxed geometry from Alexandria. Energies are from SCAN.

Results
**Energy relative to the elements**: 0.198 eV/atom
**N(E_F)**: 6.2 states/eV/cell
**Total energy**: -17.640 eV/atom

Cell: 3.508 4.211 4.211 Å, 80.01 65.38 65.38°
Element x y z (fractional)
Mn  0.594  0.609  0.204
Mn  0.202  0.204  0.391
Mn  0.798  0.796  0.609
Mn  0.406  0.391  0.796
Ni  0.000  0.000  0.000

---

(4)
Here is NaLi2Cd2 at its PBEsol-relaxed geometry from Alexandria. Energies are from SCAN.

Results
**Energy relative to the elements**: -0.191 eV/atom
**N(E_F)**: 4.0 states/eV/cell
**Total energy**: -14.156 eV/atom

Cell: 3.031 8.301 8.301 Å, 90.00 90.00 90.00°
Element x y z (fractional)
Na  0.000  0.500  0.500
Na  0.000  0.000  0.000
Cd  0.000  0.628  0.128
Cd  0.000  0.372  0.872
Cd  0.000  0.872  0.628
Cd  0.000  0.128  0.372
Li  0.500  0.667  0.833
Li  0.500  0.833  0.333
Li  0.500  0.333  0.167
Li  0.500  0.167  0.667

---

Q: The highest total energy belongs to which entry?
A: NaLi2Cd2

---

Q: The lowest energy relative to the elements belongs to which entry?
A: K2TlAu

---

Q: Look up the energy relative to the elements of the second one.
A: 0.024 eV/atom